# 1
Material: LiAlZn
Method: DFT, PBE-GGA
State: optimized geometry

Properties
Relative energy among the computed polymorphs in eV per atom: 0.113
Total magnetic moment in μB/atom: 0.00
ΔH_f (0 K) in eV per atom: -0.005
Electronic total energy in eV/f.u.: -6.94

a = 2.6920 Å, b = 5.1790 Å, c = 14.5279 Å
α = 90.00°, β = 90.00°, γ = 90.00°
Last column: nearest neighbours and their distance in Å.
Space group Immm (No. 71)
Unique sites:
Li 0.0000 0.0000 0.1452 [4 per cell]  2 Li 2.69, 5 Al 2.80-2.93, 4 Zn 2.81
Al 0.0000 0.0000 0.3377 [4 per cell]  2 Al 2.69, 2 Zn 2.70, 5 Li 2.80-2.93
Zn 0.0000 0.2527 0.5000 [4 per cell]  4 Zn 2.56-2.69, 2 Al 2.70, 4 Li 2.81

# 2
Material: SnPd2Au
Method: DFT, PBE-GGA
State: optimized geometry

Properties
Total magnetic moment in μB/atom: 0.00
ΔH_f (0 K) in eV per atom: -0.284
Electronic total energy in eV/f.u.: -18.80

a = 6.5277 Å, b = 6.5277 Å, c = 6.5277 Å
α = 90.00°, β = 90.00°, γ = 90.00°
Last column: nearest neighbours and their distance in Å.
Space group F-43m (No. 216)
Unique sites:
Sn 0.0000 0.0000 0.0000 [4 per cell]  4 Pd 2.83, 4 Au 2.83
Pd 0.0000 0.0000 0.5000 [4 per cell]  4 Pd 2.83, 4 Au 2.83
Pd 0.2500 0.2500 0.2500 [4 per cell]  4 Sn 2.83, 4 Pd 2.83
Au 0.2500 0.2500 0.7500 [4 per cell]  4 Sn 2.83, 4 Pd 2.83

# 3
Material: BaCdIn2Hg2
Method: DFT, PBE-GGA
State: optimized geometry

Properties
Total magnetic moment in μB/atom: 0.00
ΔH_f (0 K) in eV per atom: -0.281
Electronic total energy in eV/f.u.: -10.60

a = 5.0445 Å, b = 5.0445 Å, c = 8.0558 Å
α = 90.00°, β = 90.00°, γ = 120.00°
Last column: nearest neighbours and their distance in Å.
Space group P-3m1 (No. 164)
Unique sites:
Ba 0.0000 0.0000 0.0000 [1 per cell]  6 Hg 3.52
Cd 0.0000 0.0000 0.5000 [1 per cell]  6 In 3.20, 6 Hg 3.57
In 0.3333 0.6667 0.3368 [2 per cell]  3 Hg 3.01, 3 Cd 3.20
Hg 0.3333 0.6667 0.7552 [2 per cell]  3 In 3.01

# 4
Material: MnMoS4
Method: DFT, PBE-GGA
State: optimized geometry

Properties
Total magnetic moment in μB/atom: 0.36
Electronic total energy in eV/f.u.: -38.97
Raw formation energy in eV per atom: -0.410

a = 7.9253 Å, b = 8.1056 Å, c = 3.3182 Å
α = 90.00°, β = 90.00°, γ = 90.00°
Last column: nearest neighbours and their distance in Å.
Space group Cmmm (No. 65)
Unique sites:
Mn 0.0000 0.0000 0.0000 [2 per cell]  6 S 2.28-2.33
Mo 0.0000 0.5000 0.5000 [2 per cell]  6 S 2.39-2.40
S 0.0000 0.2875 0.0000 [4 per cell]  1 Mn 2.33, 2 Mo 2.39
S 0.1975 0.0000 0.5000 [4 per cell]  2 Mn 2.28, 1 Mo 2.40

# 5
Material: La2YSbO
Method: DFT, PBE-GGA
State: optimized geometry

Properties
Total magnetic moment in μB/atom: 0.00
Electronic total energy in eV/f.u.: -33.22
Raw formation energy in eV per atom: -1.563

a = 5.1147 Å, b = 5.1147 Å, c = 4.6929 Å
α = 90.00°, β = 90.00°, γ = 90.00°
Last column: nearest neighbours and their distance in Å.
Space group P4/mmm (No. 123)
Unique sites:
La 0.0000 0.5000 0.0000 [2 per cell]  2 O 2.56
Y 0.0000 0.0000 0.5000 [1 per cell]  2 O 2.35
Sb 0.5000 0.5000 0.5000 [1 per cell]  8 La 3.47, 4 Y 3.62
O 0.0000 0.0000 0.0000 [1 per cell]  2 Y 2.35, 4 La 2.56

# 6
Material: BaFe2Ru
Method: DFT, PBE-GGA
State: optimized geometry

Properties
Total magnetic moment in μB/atom: 1.46
ΔH_f (0 K) in eV per atom: 0.676
Electronic total energy in eV/f.u.: -25.42

a = 3.1913 Å, b = 4.1162 Å, c = 6.4109 Å
α = 90.00°, β = 90.00°, γ = 90.00°
Last column: nearest neighbours and their distance in Å.
Space group Pmm2 (No. 25)
Unique sites:
Ba 0.0000 0.0000 0.0000 [1 per cell]  2 Ba 3.19, 6 Fe 3.30-3.36, 2 Ru 3.50
Fe 0.0000 0.5000 0.5857 [1 per cell]  2 Fe 2.35
Fe 0.5000 0.5000 0.3157 [1 per cell]  2 Fe 2.35, 2 Ru 2.42
Ru 0.5000 0.0000 0.5140 [1 per cell]  6 Fe 2.42-2.64

# 7
Material: K2NiRhBr
Method: DFT, PBE-GGA
State: optimized geometry

Properties
Total magnetic moment in μB/atom: 0.30
Electronic total energy in eV/f.u.: -14.30
Raw formation energy in eV per atom: 0.540

a = 6.2846 Å, b = 6.2846 Å, c = 4.3375 Å
α = 90.00°, β = 90.00°, γ = 90.00°
Last column: nearest neighbours and their distance in Å.
Space group P4/mmm (No. 123)
Unique sites:
K 0.0000 0.5000 0.0000 [2 per cell]  2 Ni 3.14
Ni 0.0000 0.0000 0.0000 [1 per cell]  2 Br 2.17
Rh 0.5000 0.5000 0.5000 [1 per cell]  8 K 3.82
Br 0.0000 0.0000 0.5000 [1 per cell]  2 Ni 2.17

# 8
Material: Ni2BPd
Method: DFT, PBE-GGA
State: optimized geometry

Properties
Total magnetic moment in μB/atom: 0.00
ΔH_f (0 K) in eV per atom: -0.092
Electronic total energy in eV/f.u.: -23.80

a = 2.8183 Å, b = 2.8183 Å, c = 19.4909 Å
α = 90.00°, β = 90.00°, γ = 120.00°
Last column: nearest neighbours and their distance in Å.
Space group R-3m (No. 166, hexagonal axes)
Unique sites:
Ni 0.0000 0.0000 0.2231 [6 per cell]  3 B 1.96
B 0.0000 0.0000 0.5000 [3 per cell]  6 Ni 1.96
Pd 0.0000 0.0000 0.0000 [3 per cell]  6 Ni 2.70, 6 Pd 2.82

# 9
Material: SrScS2
Method: DFT, PBE-GGA
State: optimized geometry

Properties
Relative energy among the computed polymorphs in eV per atom: 0.577
Total magnetic moment in μB/atom: 0.00
Electronic total energy in eV/f.u.: -21.70
Raw formation energy in eV per atom: -1.357

a = 4.3819 Å, b = 4.3819 Å, c = 23.5732 Å
α = 90.00°, β = 90.00°, γ = 120.00°
Last column: nearest neighbours and their distance in Å.
Space group R-3m (No. 166, hexagonal axes)
Unique sites:
Sr 0.0000 0.0000 0.0000 [3 per cell]  6 S 2.98
Sc 0.0000 0.0000 0.5000 [3 per cell]  2 S 2.35
S 0.0000 0.0000 0.4002 [6 per cell]  1 Sc 2.35

# 10
Material: PmHgGe2
Method: DFT, PBE-GGA
State: optimized geometry

Properties
Relative energy among the computed polymorphs in eV per atom: 0.000
Total magnetic moment in μB/atom: 0.00
ΔH_f (0 K) in eV per atom: -0.406
Electronic total energy in eV/f.u.: -15.91

a = 4.5785 Å, b = 4.5785 Å, c = 4.2341 Å
α = 90.00°, β = 90.00°, γ = 90.00°
Last column: nearest neighbours and their distance in Å.
Space group P4/mmm (No. 123)
Unique sites:
Pm 0.0000 0.0000 0.0000 [1 per cell]  8 Ge 3.12, 4 Hg 3.24
Hg 0.5000 0.5000 0.0000 [1 per cell]  8 Ge 3.12, 4 Pm 3.24
Ge 0.0000 0.5000 0.5000 [2 per cell]  4 Hg 3.12, 4 Pm 3.12, 4 Ge 3.24

# 11
Material: Ce4Pt2I5
Method: DFT, PBE-GGA
State: optimized geometry

Properties
Total magnetic moment in μB/atom: 0.06
Electronic total energy in eV/f.u.: -54.50
Raw formation energy in eV per atom: -0.993

a = 4.1541 Å, b = 8.8258 Å, c = 27.7409 Å
α = 90.00°, β = 90.00°, γ = 90.00°
Last column: nearest neighbours and their distance in Å.
Space group Immm (No. 71)
Unique sites:
Ce 0.0000 0.0000 0.1444 [4 per cell]  1 Pt 2.65
Ce 0.0000 0.3057 0.5000 [4 per cell]  4 Pt 3.01
Pt 0.0000 0.0000 0.0487 [4 per cell]  1 Ce 2.65, 1 Pt 2.70
I 0.0000 0.2474 0.3274 [8 per cell]  2 Ce 3.15
I 0.0000 0.5000 0.0000 [2 per cell]  4 Ce 3.41

# 12
Material: InSBr
Method: DFT, PBE-GGA
State: optimized geometry

Properties
Total magnetic moment in μB/atom: 0.00
Electronic total energy in eV/f.u.: -10.55
Raw formation energy in eV per atom: -0.672

a = 3.8753 Å, b = 3.8753 Å, c = 6.8102 Å
α = 90.00°, β = 90.00°, γ = 120.00°
Last column: nearest neighbours and their distance in Å.
Space group P3m1 (No. 156)
Unique sites:
In 0.0000 0.0000 0.0000 [1 per cell]  3 S 2.55
S 0.3333 0.6667 0.1795 [1 per cell]  3 In 2.55
Br 0.6667 0.3333 0.7269 [1 per cell]  3 In 2.91

# 13
Material: BaCeN
Method: DFT, PBE-GGA
State: optimized geometry

Properties
Relative energy among the computed polymorphs in eV per atom: 0.000
Total magnetic moment in μB/atom: 0.38
Electronic total energy in eV/f.u.: -18.12
Raw formation energy in eV per atom: -0.647

a = 3.7814 Å, b = 3.7814 Å, c = 6.9613 Å
α = 90.00°, β = 90.00°, γ = 120.00°
Last column: nearest neighbours and their distance in Å.
Space group P3m1 (No. 156)
Unique sites:
Ba 0.0000 0.0000 0.0000 [1 per cell]  3 N 3.02
Ce 0.6667 0.3333 0.5723 [1 per cell]  3 N 2.36
N 0.3333 0.6667 0.6997 [1 per cell]  3 Ce 2.36

# 14
Material: VCd3Br
Method: DFT, PBE-GGA
State: optimized geometry

Properties
Relative energy among the computed polymorphs in eV per atom: 0.000
Total magnetic moment in μB/atom: 0.79
Electronic total energy in eV/f.u.: -10.95
Raw formation energy in eV per atom: 0.518

a = 5.4873 Å, b = 5.4873 Å, c = 5.4873 Å
α = 90.00°, β = 90.00°, γ = 90.00°
Last column: nearest neighbours and their distance in Å.
Space group Pm-3m (No. 221)
Unique sites:
V 0.0000 0.0000 0.0000 [1 per cell]  6 Cd 2.74
Cd 0.0000 0.0000 0.5000 [3 per cell]  2 V 2.74
Br 0.5000 0.5000 0.5000 [1 per cell]  12 Cd 3.88

# 15
Material: Na2PuAsO6
Method: DFT, PBE-GGA
State: optimized geometry

Properties
Total magnetic moment in μB/atom: 0.30
Electronic total energy in eV/f.u.: -70.13
Raw formation energy in eV per atom: -1.876

a = 5.5306 Å, b = 5.5306 Å, c = 4.3112 Å
α = 90.00°, β = 90.00°, γ = 90.00°
Last column: nearest neighbours and their distance in Å.
Space group P4mm (No. 99)
Unique sites:
Na 0.0000 0.5000 0.0000 [2 per cell]  8 O 2.63-2.80
Pu 0.0000 0.0000 0.5653 [1 per cell]  6 O 2.11-2.19
As 0.5000 0.5000 0.5012 [1 per cell]  5 O 1.70-1.85
O 0.0000 0.0000 0.0728 [1 per cell]  2 Pu 2.12-2.19
O 0.2696 0.2696 0.5932 [4 per cell]  1 As 1.85
O 0.5000 0.5000 0.1062 [1 per cell]  1 As 1.70

# 16
Material: BPtW
Method: DFT, PBE-GGA
State: optimized geometry

Properties
Relative energy among the computed polymorphs in eV per atom: 0.047
Total magnetic moment in μB/atom: 0.00
ΔH_f (0 K) in eV per atom: -0.264
Electronic total energy in eV/f.u.: -26.46

a = 8.4758 Å, b = 3.1953 Å, c = 5.6821 Å
α = 90.00°, β = 90.46°, γ = 90.00°
Last column: nearest neighbours and their distance in Å.
Space group C2/m (No. 12)
Unique sites:
B 0.0592 0.0000 0.1358 [4 per cell]  1 B 1.83
Pt 0.1404 0.5000 0.3770 [4 per cell]  2 B 2.21
W 0.1440 0.5000 0.8658 [4 per cell]  5 B 2.33-2.52

# 17
Material: BeFeRu2
Method: DFT, PBE-GGA
State: optimized geometry

Properties
Total magnetic moment in μB/atom: 0.52
ΔH_f (0 K) in eV per atom: -0.080
Electronic total energy in eV/f.u.: -31.06

a = 2.8422 Å, b = 2.8422 Å, c = 5.8433 Å
α = 90.00°, β = 90.00°, γ = 90.00°
Last column: nearest neighbours and their distance in Å.
Space group P4/mmm (No. 123)
Unique sites:
Be 0.0000 0.0000 0.0000 [1 per cell]  8 Ru 2.42
Fe 0.0000 0.0000 0.5000 [1 per cell]  8 Ru 2.55, 4 Fe 2.84
Ru 0.5000 0.5000 0.2317 [2 per cell]  4 Be 2.42, 4 Fe 2.55, 1 Ru 2.71

# 18
Material: Nd2TmPuSb4
Method: DFT, PBE-GGA
State: optimized geometry

Properties
Total magnetic moment in μB/atom: 0.63
Electronic total energy in eV/f.u.: -52.81
Raw formation energy in eV per atom: -0.998

a = 7.7045 Å, b = 4.4632 Å, c = 7.7066 Å
α = 90.00°, β = 109.47°, γ = 90.00°
Last column: nearest neighbours and their distance in Å.
Space group P2/m (No. 10)
Unique sites:
Nd 0.0000 0.0000 0.0000 [1 per cell]  6 Sb 3.18-3.19
Nd 0.5000 0.5000 0.0000 [1 per cell]  6 Sb 3.20
Tm 0.0000 0.5000 0.5000 [1 per cell]  6 Sb 3.09-3.10
Pu 0.5000 0.0000 0.5000 [1 per cell]  6 Sb 3.11-3.12
Sb 0.2443 0.0000 0.7389 [2 per cell]  2 Tm 3.10, 1 Pu 3.11, 3 Nd 3.18-3.20
Sb 0.2513 0.5000 0.2597 [2 per cell]  1 Tm 3.09, 2 Pu 3.12, 3 Nd 3.19-3.20

# 19
Material: InAs2PSe
Method: DFT, PBE-GGA
State: optimized geometry

Properties
Relative energy among the computed polymorphs in eV per atom: 0.779
Total magnetic moment in μB/atom: 0.00
Electronic total energy in eV/f.u.: -14.85
Raw formation energy in eV per atom: 1.216

a = 5.2543 Å, b = 5.2543 Å, c = 5.2177 Å
α = 90.00°, β = 90.00°, γ = 90.00°
Last column: nearest neighbours and their distance in Å.
Space group P4/mmm (No. 123)
Unique sites:
In 0.0000 0.0000 0.0000 [1 per cell]  2 Se 2.61, 4 As 2.63
As 0.0000 0.5000 0.0000 [2 per cell]  2 In 2.63
P 0.5000 0.5000 0.5000 [1 per cell]  8 As 3.70, 4 Se 3.72
Se 0.0000 0.0000 0.5000 [1 per cell]  2 In 2.61

# 20
Material: Rb2BiSbTe4
Method: DFT, PBE-GGA
State: optimized geometry

Properties
Total magnetic moment in μB/atom: 0.00
Electronic total energy in eV/f.u.: -26.76
Raw formation energy in eV per atom: -0.531

a = 9.5286 Å, b = 9.6385 Å, c = 13.5532 Å
α = 90.00°, β = 90.00°, γ = 90.00°
Last column: nearest neighbours and their distance in Å.
Space group Imma (No. 74)
Unique sites:
Rb 0.0000 0.0000 0.0000 [4 per cell]  6 Te 3.59
Rb 0.2500 0.2500 0.2500 [4 per cell]  6 Te 3.63-3.64
Bi 0.0000 0.0000 0.5000 [4 per cell]  6 Te 3.22
Sb 0.2500 0.2500 0.7500 [4 per cell]  6 Te 3.16
Te 0.0000 0.0348 0.7363 [8 per cell]  2 Sb 3.16, 1 Bi 3.22
Te 0.2223 0.2500 0.5175 [8 per cell]  1 Sb 3.16, 2 Bi 3.22

# 21
Material: KHgI2
Method: DFT, PBE-GGA
State: optimized geometry

Properties
Relative energy among the computed polymorphs in eV per atom: 0.035
Total magnetic moment in μB/atom: 0.00
Electronic total energy in eV/f.u.: -7.19
Raw formation energy in eV per atom: -0.672

a = 5.0425 Å, b = 5.0425 Å, c = 22.7289 Å
α = 90.00°, β = 90.00°, γ = 120.00°
Last column: nearest neighbours and their distance in Å.
Space group R-3m (No. 166, hexagonal axes)
Unique sites:
K 0.0000 0.0000 0.0000 [3 per cell]  6 I 3.57
Hg 0.0000 0.0000 0.5000 [3 per cell]  6 I 3.38
I 0.0000 0.0000 0.2426 [6 per cell]  3 Hg 3.38, 3 K 3.57

# 22
Material: HfNb2AuN
Method: DFT, PBE-GGA
State: optimized geometry

Properties
Total magnetic moment in μB/atom: 0.00
Electronic total energy in eV/f.u.: -45.14
Raw formation energy in eV per atom: -0.689

a = 4.2414 Å, b = 4.2414 Å, c = 4.4874 Å
α = 90.00°, β = 90.00°, γ = 90.00°
Last column: nearest neighbours and their distance in Å.
Space group P4/mmm (No. 123)
Unique sites:
Hf 0.0000 0.0000 0.0000 [1 per cell]  2 N 2.24
Nb 0.0000 0.5000 0.5000 [2 per cell]  2 N 2.12
Au 0.5000 0.5000 0.0000 [1 per cell]  4 Hf 3.00, 8 Nb 3.09
N 0.0000 0.0000 0.5000 [1 per cell]  4 Nb 2.12, 2 Hf 2.24